This record from Alexandria describes SiNi2O4 after structural relaxation. The functional is PBE with a Hubbard U.

Calculated values
polymorph energy (0 for the lowest one): 0.0 kJ/mol of atoms
magnetic moment: 16.0 Bohr magnetons per cell

```
SiNi2O4
1.0
10.2423 0.0000 0.0000
0.0000 5.9727 0.0000
0.0000 0.0000 4.7700
Si Ni O
4 8 16
Direct
0.0938 0.2500 0.0733 Si
0.4062 0.7500 0.5733 Si
0.5938 0.2500 0.4267 Si
0.9062 0.7500 0.9267 Si
0.0000 0.0000 0.5000 Ni
0.0000 0.5000 0.5000 Ni
0.2266 0.7500 0.0067 Ni
0.2734 0.2500 0.5067 Ni
0.5000 0.0000 0.0000 Ni
0.5000 0.5000 0.0000 Ni
0.7266 0.7500 0.4933 Ni
0.7734 0.2500 0.9933 Ni
0.0551 0.7500 0.7821 O
0.0935 0.2500 0.7310 O
0.1628 0.0300 0.2254 O
0.1628 0.4700 0.2254 O
0.3372 0.5300 0.7254 O
0.3372 0.9700 0.7254 O
0.4065 0.7500 0.2310 O
0.4449 0.2500 0.2821 O
0.5551 0.7500 0.7179 O
0.5935 0.2500 0.7690 O
0.6628 0.0300 0.2746 O
0.6628 0.4700 0.2746 O
0.8372 0.5300 0.7746 O
0.8372 0.9700 0.7746 O
0.9065 0.7500 0.2690 O
0.9449 0.2500 0.2179 O
```